Entry P
Material: BeRh2I
Method: DFT, GGA-PBE
State: relaxed

Geometry as POSCAR:
```
BeRh2I
1.0
-2.453 2.453 6.338
2.453 -2.453 6.338
2.453 2.453 -6.338
Be Rh I
2 4 2
Cartesian
0.000 0.000 0.000
0.000 2.453 3.169
3.680 0.797 -1.584
0.797 1.227 1.584
-1.227 1.656 4.753
1.656 1.227 7.922
2.453 0.000 3.169
0.000 0.000 6.338
```

Summary:
As for the space-group type: I-42d (122). The calculated density comes out at 7.4 g/cm3.



Entry Q
Material: BeRh2I
Method: DFT, GGA-PBE
State: relaxed

Geometry as POSCAR:
```
BeRh2I
1.0
0.000 3.131 3.131
3.131 0.000 3.131
3.131 3.131 0.000
Be Rh I
1 2 1
Cartesian
0.000 0.000 0.000
1.566 1.566 1.566
4.697 4.697 4.697
3.131 3.131 3.131
```

Summary:
As for the space-group type: Fm-3m (225). The calculated density comes out at 9.2 g/cm3.



Stability summary - winner: entry P; margin: 76 meV/atom.



Entry P
Material: BeSbRhI2
Method: DFT, GGA-PBE
State: relaxed

Geometry as POSCAR:
```
BeSbRhI2
1.0
5.104 0.000 0.000
0.000 5.104 0.000
0.000 0.000 4.879
Be Sb Rh I
1 1 1 2
Cartesian
0.000 0.000 0.000
0.000 0.000 2.439
2.552 2.552 2.439
0.000 2.552 0.000
2.552 0.000 0.000
```

Summary:
As for the space-group type: P4/mmm (123). The calculated density comes out at 6.4 g/cm3.



Entry Q
Material: BeSbRhI2
Method: DFT, GGA-PBE
State: relaxed

Geometry as POSCAR:
```
BeSbRhI2
1.0
5.580 0.000 0.000
0.000 5.580 0.000
0.000 0.000 4.988
Be Sb Rh I
1 1 1 2
Cartesian
0.000 0.000 0.000
2.790 2.790 0.000
2.790 2.790 2.494
0.000 2.790 2.494
2.790 0.000 2.494
```

Summary:
As for the space-group type: P4/mmm (123). The calculated density comes out at 5.2 g/cm3.



Stability summary - winner: entry Q; margin: 142 meV/atom.



Entry P
Material: BeRu3I
Method: DFT, GGA-PBE
State: relaxed

Geometry as POSCAR:
```
BeRu3I
1.0
4.763 0.000 0.000
0.000 4.763 0.000
0.000 0.000 4.763
Be Ru I
1 3 1
Cartesian
0.000 0.000 0.000
0.000 2.382 2.382
2.382 0.000 2.382
2.382 2.382 0.000
2.382 2.382 2.382
```

Summary:
As for the space-group type: Pm-3m (221). The calculated density comes out at 6.7 g/cm3.



Entry Q
Material: BeRu3I
Method: DFT, GGA-PBE
State: relaxed

Geometry as POSCAR:
```
BeRu3I
1.0
4.241 0.000 0.000
0.000 4.241 0.000
0.000 0.000 4.241
Be Ru I
1 3 1
Cartesian
0.000 0.000 0.000
0.000 0.000 2.120
0.000 2.120 0.000
2.120 0.000 0.000
2.120 2.120 2.120
```

Summary:
As for the space-group type: Pm-3m (221). The calculated density comes out at 9.6 g/cm3.



Stability summary - winner: entry Q; margin: 1227 meV/atom.



Entry P
Material: Be2Ru2I
Method: DFT, GGA-PBE
State: relaxed

Geometry as POSCAR:
```
Be2Ru2I
1.0
-1.607 1.607 6.804
1.607 -1.607 6.804
1.607 1.607 -6.804
Be Ru I
2 2 1
Cartesian
1.607 0.000 3.402
0.000 1.607 3.402
0.000 0.000 1.607
0.000 0.000 12.001
0.000 0.000 6.804
```

Summary:
As for the space-group type: I4/mmm (139). The calculated density comes out at 8.2 g/cm3.



Entry Q
Material: Be2Ru2I
Method: DFT, GGA-PBE
State: relaxed

Geometry as POSCAR:
```
Be2Ru2I
1.0
6.825 0.000 0.000
0.000 6.825 0.000
0.000 0.000 3.050
Be Ru I
4 4 2
Cartesian
0.816 2.596 0.000
2.596 6.009 0.000
4.228 0.816 0.000
6.009 4.228 0.000
1.049 4.462 1.525
2.363 1.049 1.525
4.462 5.776 1.525
5.776 2.363 1.525
0.000 0.000 1.525
3.412 3.412 1.525
```

Summary:
As for the space-group type: P4/mbm (127). The calculated density comes out at 8.1 g/cm3.



Stability summary - winner: entry P; margin: 30 meV/atom.



Entry P
Material: Be3RuI
Method: DFT, GGA-PBE
State: relaxed

Geometry as POSCAR:
```
Be3RuI
1.0
4.524 0.000 0.000
0.000 4.524 0.000
0.000 0.000 4.524
Be Ru I
3 1 1
Cartesian
0.000 0.000 2.262
0.000 2.262 0.000
2.262 0.000 0.000
2.262 2.262 2.262
0.000 0.000 0.000
```

Summary:
As for the space-group type: Pm-3m (221). The calculated density comes out at 4.6 g/cm3.



Entry Q
Material: Be3RuI
Method: DFT, GGA-PBE
State: relaxed

Geometry as POSCAR:
```
Be3RuI
1.0
4.356 0.000 0.000
0.000 4.356 0.000
0.000 0.000 4.356
Be Ru I
3 1 1
Cartesian
0.000 0.000 2.178
0.000 2.178 0.000
2.178 0.000 0.000
0.000 0.000 0.000
2.178 2.178 2.178
```

Summary:
As for the space-group type: Pm-3m (221). The calculated density comes out at 5.1 g/cm3.



Stability summary - winner: entry Q; margin: 1284 meV/atom.



Entry P
Material: BeSb2RuI
Method: DFT, GGA-PBE
State: relaxed

Geometry as POSCAR:
```
BeSb2RuI
1.0
5.041 0.000 0.000
0.000 5.041 0.000
0.000 0.000 5.735
Be Sb Ru I
1 2 1 1
Cartesian
0.000 0.000 0.000
0.000 2.521 2.867
2.521 0.000 2.867
2.521 2.521 2.867
2.521 2.521 0.000
```

Summary:
As for the space-group type: P4/mmm (123). The calculated density comes out at 5.5 g/cm3.



Entry Q
Material: BeSb2RuI
Method: DFT, GGA-PBE
State: relaxed

Geometry as POSCAR:
```
BeSb2RuI
1.0
4.722 0.000 0.000
0.000 4.722 0.000
0.000 0.000 5.094
Be Sb Ru I
1 2 1 1
Cartesian
0.000 0.000 0.000
0.000 2.361 0.000
2.361 0.000 0.000
2.361 2.361 2.547
0.000 0.000 2.547
```

Summary:
As for the space-group type: P4/mmm (123). The calculated density comes out at 7.0 g/cm3.



Stability summary - winner: entry P; margin: 179 meV/atom.



Entry P
Material: ZrBeRuI2
Method: DFT, GGA-PBE
State: relaxed

Geometry as POSCAR:
```
ZrBeRuI2
1.0
5.430 0.000 0.000
0.000 5.430 0.000
0.000 0.000 4.912
Zr Be Ru I
1 1 1 2
Cartesian
0.000 0.000 0.000
2.715 2.715 0.000
0.000 0.000 2.456
0.000 2.715 2.456
2.715 0.000 2.456
```

Summary:
As for the space-group type: P4/mmm (123). The calculated density comes out at 5.2 g/cm3.



Entry Q
Material: ZrBeRuI2
Method: DFT, GGA-PBE
State: relaxed

Geometry as POSCAR:
```
ZrBeRuI2
1.0
5.759 0.000 0.000
0.000 5.759 0.000
0.000 0.000 4.981
Zr Be Ru I
1 1 1 2
Cartesian
0.000 0.000 0.000
2.879 2.879 2.490
0.000 0.000 2.490
0.000 2.879 0.000
2.879 0.000 0.000
```

Summary:
As for the space-group type: P4/mmm (123). The calculated density comes out at 4.6 g/cm3.



Stability summary - winner: entry P; margin: 89 meV/atom.



Entry P
Material: BeS2I
Method: DFT, GGA-PBE
State: relaxed

Geometry as POSCAR:
```
BeS2I
1.0
1.760 1.016 7.495
-1.760 1.016 7.495
0.000 -2.032 7.495
Be S I
1 2 1
Cartesian
0.000 0.000 0.000
0.000 0.000 8.646
0.000 0.000 13.838
0.000 0.000 11.242
```

Summary:
As for the space-group type: R-3m (166). The calculated density comes out at 4.1 g/cm3.



Entry Q
Material: BeS2I
Method: DFT, GGA-PBE
State: relaxed

Geometry as POSCAR:
```
BeS2I
1.0
-3.060 3.060 4.705
3.060 -3.060 4.705
3.060 3.060 -4.705
Be S I
2 4 2
Cartesian
0.000 0.000 0.000
0.000 3.060 2.353
4.590 0.824 -1.176
0.824 1.530 1.176
-1.530 2.235 3.529
2.235 1.530 5.881
3.060 0.000 2.353
0.000 0.000 4.705
```

Summary:
As for the space-group type: I-42d (122). The calculated density comes out at 3.8 g/cm3.



Stability summary - winner: entry P; margin: 123 meV/atom.